# 1
# LiCu2Ir

A relaxed LiCu2Ir crystal (PBEsol, the Alexandria database).

Geometry as extended XYZ:
```
4
Lattice="2.7080 0.0000 0.0000 0.0000 4.2672 0.0000 0.0000 0.0000 4.2671" Properties=species:S:1:pos:R:3 pbc="T T T"
Li 0.0000 0.0000 0.0000
Cu 1.3540 0.0000 2.1330
Cu 1.3540 2.1336 4.2534
Ir 0.0000 2.1336 2.1206
```

Properties
N(E_F), states/eV/atom: 0.57
ΔE to the lowest computed polymorph, meV per atom: 13.0
Total moment, μB/atom: 0.0000
ΔE_f, eV per formula unit: -0.18
Symmetry: No. 25
Final energy, eV per atom: -5.160
Calculated volume, Å³/atom: 12.3

***

# 2
# CuSb3S

A relaxed CuSb3S crystal (PBEsol, the Alexandria database).

Geometry as extended XYZ:
```
5
Lattice="4.9582 0.0000 0.0000 0.0000 4.9582 0.0000 0.0000 0.0000 4.9582" Properties=species:S:1:pos:R:3 pbc="T T T"
Cu 0.0000 0.0000 0.0000
Sb 0.0000 0.0000 2.4791
Sb 0.0000 2.4791 0.0000
Sb 2.4791 0.0000 0.0000
S 2.4791 2.4791 2.4791
```

Properties
N(E_F), states/eV/atom: 1.17
Total moment, μB/atom: 0.0004
Symmetry: No. 221
Final energy, eV per atom: -3.859
Calculated volume, Å³/atom: 24.4

***

# 3
# YCd2Au

A relaxed YCd2Au crystal (PBEsol, the Alexandria database).

Geometry as extended XYZ:
```
8
Lattice="4.0753 0.0000 0.0000 0.0000 3.5671 0.0000 0.0000 0.0000 12.3362" Properties=species:S:1:pos:R:3 pbc="T T T"
Y 0.0000 0.0000 0.0000
Y 0.0000 1.7836 6.1681
Cd 0.0000 0.0000 9.1383
Cd 0.0000 1.7836 2.9702
Cd 2.0377 0.0000 4.2166
Cd 2.0377 1.7836 10.3847
Au 2.0377 0.0000 7.2390
Au 2.0377 1.7836 1.0709
```

Properties
N(E_F), states/eV/atom: 0.50
Total moment, μB/atom: 0.0000
ΔE_f, eV per formula unit: -1.66
Symmetry: No. 38
Final energy, eV per atom: -3.699
Calculated volume, Å³/atom: 22.4

***

# 4
# SrAlMoW2

A relaxed SrAlMoW2 crystal (PBEsol, the Alexandria database).

Geometry as extended XYZ:
```
5
Lattice="4.7202 0.0000 0.0000 0.0000 4.7202 0.0000 0.0000 0.0000 4.6996" Properties=species:S:1:pos:R:3 pbc="T T T"
Sr 0.0000 0.0000 0.0000
Al 2.3601 2.3601 2.3498
Mo 2.3601 2.3601 0.0000
W 0.0000 2.3601 2.3498
W 2.3601 0.0000 2.3498
```

Properties
N(E_F), states/eV/atom: 1.58
Total moment, μB/atom: 0.0000
ΔE_f, eV per formula unit: 9.04
Symmetry: No. 123
Final energy, eV per atom: -7.254
Calculated volume, Å³/atom: 20.9

***

# 5
# SiTcPb

A relaxed SiTcPb crystal (PBEsol, the Alexandria database).

Geometry as extended XYZ:
```
6
Lattice="3.2485 0.0000 0.0000 0.0000 3.2485 0.0000 0.0000 0.0000 9.9870" Properties=species:S:1:pos:R:3 pbc="T T T"
Si 0.0000 0.0000 0.0000
Si 1.6242 1.6242 4.9935
Tc 0.0000 0.0000 4.0843
Tc 1.6242 1.6242 9.0777
Pb 0.0000 0.0000 7.0627
Pb 1.6242 1.6242 2.0693
```

Properties
N(E_F), states/eV/atom: 0.53
Total moment, μB/atom: 0.0000
Symmetry: No. 107
Final energy, eV per atom: -6.880
Calculated volume, Å³/atom: 17.6

***

# 6
# LaH3C3O6

A relaxed LaH3C3O6 crystal (PBEsol, the Alexandria database).

Geometry as extended XYZ:
```
13
Lattice="5.3553 3.0919 1.3700 -5.3553 3.0919 1.3700 0.0000 -6.1838 1.3700" Properties=species:S:1:pos:R:3 pbc="T T T"
La 0.0000 0.0000 0.0000
H 0.0000 -2.9941 2.1912
H -2.5930 1.4971 2.1912
H 2.5930 1.4971 2.1912
C -2.4601 -1.4203 1.8790
C 2.4601 -1.4203 1.8790
C 0.0000 2.8406 1.8790
O -3.2009 -1.8480 2.8046
O -1.3672 -0.7894 2.0710
O 1.3673 -0.7894 2.0710
O 0.0000 1.5788 2.0710
O 3.2009 -1.8480 2.8046
O 0.0000 3.6961 2.8046
```

Properties
N(E_F), states/eV/atom: 0.00
Total moment, μB/atom: 0.0000
Symmetry: No. 160
Final energy, eV per atom: -7.275
Calculated volume, Å³/atom: 10.5

***

# 7
# CaCuSb

A relaxed CaCuSb crystal (PBEsol, the Alexandria database).

Geometry as extended XYZ:
```
3
Lattice="4.3346 0.0000 0.0000 -2.1673 3.7538 0.0000 0.0000 0.0000 4.2734" Properties=species:S:1:pos:R:3 pbc="T T T"
Ca 0.0000 0.0000 0.0000
Cu 0.0000 2.5026 2.1367
Sb 2.1673 1.2513 2.1367
```

Properties
N(E_F), states/eV/atom: 0.37
Total moment, μB/atom: 0.0001
Symmetry: No. 187
Final energy, eV per atom: -4.304
Calculated volume, Å³/atom: 23.2

***

# 8
# RbMg2Al2

A relaxed RbMg2Al2 crystal (PBEsol, the Alexandria database).

Geometry as extended XYZ:
```
10
Lattice="4.9863 0.0000 0.0000 0.0000 4.9863 0.0000 0.0000 0.0000 11.2350" Properties=species:S:1:pos:R:3 pbc="T T T"
Rb 0.0000 0.0000 0.0000
Rb 2.4931 2.4931 5.6175
Mg 0.0000 2.4931 2.8088
Mg 0.0000 2.4931 8.4263
Mg 2.4931 0.0000 2.8088
Mg 2.4931 0.0000 8.4263
Al 0.0000 0.0000 4.3198
Al 0.0000 0.0000 6.9152
Al 2.4931 2.4931 1.2977
Al 2.4931 2.4931 9.9373
```

Properties
N(E_F), states/eV/atom: 0.56
Total moment, μB/atom: 0.0000
ΔE_f, eV per formula unit: 1.06
Symmetry: No. 139
Final energy, eV per atom: -2.316
Calculated volume, Å³/atom: 27.9

***

# 9
# CoRe2Mo

A relaxed CoRe2Mo crystal (PBEsol, the Alexandria database).

Geometry as extended XYZ:
```
8
Lattice="3.8103 0.0000 0.0000 0.0000 3.8103 0.0000 0.0000 0.0000 7.5232" Properties=species:S:1:pos:R:3 pbc="T T T"
Co 0.0000 0.0000 0.0000
Co 1.9052 1.9052 3.7616
Re 0.0000 0.0000 3.7616
Re 0.0000 1.9052 1.8808
Re 1.9052 0.0000 5.6424
Re 1.9052 1.9052 0.0000
Mo 0.0000 1.9052 5.6424
Mo 1.9052 0.0000 1.8808
```

Properties
N(E_F), states/eV/atom: 0.91
ΔE to the lowest computed polymorph, meV per atom: 22.8
Total moment, μB/atom: 0.0002
ΔE_f, eV per formula unit: 0.23
Symmetry: No. 119
Final energy, eV per atom: -11.486
Calculated volume, Å³/atom: 13.7

***

# 10
# TlGeSbO5

A relaxed TlGeSbO5 crystal (PBEsol, the Alexandria database).

Geometry as extended XYZ:
```
64
Lattice="13.3937 0.0000 0.0000 0.0000 6.6677 0.0000 0.0000 0.0000 10.8540" Properties=species:S:1:pos:R:3 pbc="T T T"
Tl 1.4380 1.3277 0.0000
Tl 1.5107 5.2016 2.5697
Tl 5.1861 1.8677 7.9967
Tl 5.2588 4.6615 5.4270
Tl 8.1348 2.0062 0.0000
Tl 8.2075 4.8000 2.5697
Tl 11.8830 1.4661 7.9967
Tl 11.9557 5.3400 5.4270
Ge 0.0418 2.1249 3.4005
Ge 2.4475 0.1044 6.1087
Ge 4.2493 3.4382 0.6817
Ge 6.6550 5.4587 8.8276
Ge 6.7386 1.2090 3.4005
Ge 9.1444 3.2295 6.1087
Ge 10.9462 6.5633 0.6817
Ge 13.3519 4.5428 8.8276
Sb 1.5924 3.4113 6.0870
Sb 3.2566 5.0687 8.8753
Sb 3.4402 1.7348 3.4483
Sb 5.1045 0.0774 0.6600
Sb 8.2892 6.5902 6.0870
Sb 9.9535 4.9329 8.8753
Sb 10.1371 1.5990 3.4483
Sb 11.8013 3.2564 0.6600
O 0.0392 3.6489 7.3067
O 0.1916 3.3518 4.6492
O 1.3301 5.6200 9.0284
O 1.3734 1.4530 6.4357
O 1.4667 5.3839 5.6661
O 1.5073 1.1534 3.3232
O 2.9293 3.6429 7.5219
O 3.0185 3.7153 10.2955
O 3.0260 3.1829 4.7471
O 3.1637 3.1000 2.0382
O 3.5331 6.4338 7.4652
O 3.6708 6.5167 10.1741
O 3.6783 0.3814 4.8685
O 3.7676 0.3090 2.0949
O 5.1895 4.4873 8.7502
O 5.2301 2.0500 0.2391
O 5.3235 4.7868 1.0087
O 5.3668 2.2862 3.6014
O 6.5052 0.0179 10.0762
O 6.6577 0.3151 1.8797
O 6.7360 6.3526 7.3067
O 6.8885 6.6498 4.6492
O 8.0269 4.3815 9.0284
O 8.0702 1.8809 6.4357
O 8.1636 4.6177 5.6661
O 8.2042 2.1804 3.3232
O 9.6261 6.3587 7.5219
O 9.7154 6.2863 10.2955
O 9.7229 0.1510 4.7471
O 9.8606 0.2338 2.0382
O 10.2300 3.5677 7.4652
O 10.3676 3.4848 10.1741
O 10.3751 2.9524 4.8685
O 10.4644 3.0248 2.0949
O 11.8864 5.5143 8.7502
O 11.9269 1.2838 0.2391
O 12.0203 5.2147 1.0087
O 12.0636 1.0477 3.6014
O 13.2021 3.3159 10.0762
O 13.3545 3.0188 1.8797
```

Properties
N(E_F), states/eV/atom: 0.00
Total moment, μB/atom: 0.0000
Symmetry: No. 33
Final energy, eV per atom: -6.222
Calculated volume, Å³/atom: 15.1

***

# 11
# CdTcIr2

A relaxed CdTcIr2 crystal (PBEsol, the Alexandria database).

Geometry as extended XYZ:
```
4
Lattice="2.7783 0.0000 0.0000 0.0000 2.7783 0.0000 0.0000 0.0000 7.8165" Properties=species:S:1:pos:R:3 pbc="T T T"
Cd 0.0000 0.0000 0.0000
Tc 0.0000 0.0000 3.9083
Ir 1.3892 1.3892 2.1444
Ir 1.3892 1.3892 5.6721
```

Properties
N(E_F), states/eV/atom: 0.54
Total moment, μB/atom: 0.0001
ΔE_f, eV per formula unit: -0.32
Symmetry: No. 123
Final energy, eV per atom: -8.108
Calculated volume, Å³/atom: 15.1

***

# 12
# InIr2W

A relaxed InIr2W crystal (PBEsol, the Alexandria database).

Geometry as extended XYZ:
```
4
Lattice="2.8396 0.0000 0.0000 0.0000 3.7990 0.0000 0.0000 0.0000 5.8167" Properties=species:S:1:pos:R:3 pbc="T T T"
In 0.0000 0.0000 0.0000
Ir 1.4198 1.8995 1.5626
Ir 1.4198 1.8995 4.2541
W 0.0000 0.0000 2.9084
```

Properties
N(E_F), states/eV/atom: 0.49
Total moment, μB/atom: 0.0000
ΔE_f, eV per formula unit: -0.32
Symmetry: No. 47
Final energy, eV per atom: -9.189
Calculated volume, Å³/atom: 15.7